Entry P
An optimized crystal structure of LiB2Ir. Source: Alexandria, functional PBE.

```
LiB2Ir
1.0
0.000 2.635 2.635
2.635 0.000 2.635
2.635 2.635 0.000
Li B Ir
1 2 1
Cartesian
0.000 0.000 0.000
1.318 1.318 1.318
3.953 3.953 3.953
2.635 2.635 2.635
```

symmetry: Fm-3m

Entry Q
An optimized crystal structure of LiB2Ir. Source: Alexandria, functional PBE.

```
LiB2Ir
1.0
-2.037 2.037 6.881
2.037 -2.037 6.881
2.037 2.037 -6.881
Li B Ir
2 4 2
Cartesian
2.037 1.018 1.720
0.000 1.018 5.160
0.000 0.000 0.000
1.018 1.018 -3.440
1.018 -1.018 3.440
0.000 2.037 0.000
2.037 -1.018 5.160
0.000 3.055 1.720
```

symmetry: I4_1/amd

Most stable: entry P (next structure +2.1 kJ/mol of atoms)

Entry P
An optimized crystal structure of Li3BIr. Source: Alexandria, functional PBE.

```
Li3BIr
1.0
4.602 0.000 0.000
0.000 4.602 0.000
0.000 0.000 4.602
Li B Ir
3 1 1
Cartesian
0.000 0.000 2.301
0.000 2.301 0.000
2.301 0.000 0.000
2.301 2.301 2.301
0.000 0.000 0.000
```

symmetry: Pm-3m

Entry Q
An optimized crystal structure of Li3BIr. Source: Alexandria, functional PBE.

```
Li3BIr
1.0
3.976 0.000 0.000
0.000 3.976 0.000
0.000 0.000 3.976
Li B Ir
3 1 1
Cartesian
0.000 0.000 1.988
0.000 1.988 0.000
1.988 0.000 0.000
0.000 0.000 0.000
1.988 1.988 1.988
```

symmetry: Pm-3m

Most stable: entry Q (next structure +40.8 kJ/mol of atoms)

Entry P
An optimized crystal structure of LiBIr3. Source: Alexandria, functional PBE.

```
LiBIr3
1.0
4.050 0.000 0.000
0.000 4.050 0.000
0.000 0.000 4.050
Li B Ir
1 1 3
Cartesian
0.000 0.000 0.000
2.025 2.025 2.025
0.000 0.000 2.025
0.000 2.025 0.000
2.025 0.000 0.000
```

symmetry: Pm-3m

Entry Q
An optimized crystal structure of LiBIr3. Source: Alexandria, functional PBE.

```
LiBIr3
1.0
4.090 0.000 0.000
0.000 4.090 0.000
0.000 0.000 4.090
Li B Ir
1 1 3
Cartesian
0.000 0.000 0.000
2.045 2.045 2.045
0.000 2.045 2.045
2.045 0.000 2.045
2.045 2.045 0.000
```

symmetry: Pm-3m

Most stable: entry Q (next structure +160.4 kJ/mol of atoms)

Entry P
An optimized crystal structure of LiB3Ir. Source: Alexandria, functional PBE.

```
LiB3Ir
1.0
4.102 0.000 0.000
0.000 4.102 0.000
0.000 0.000 4.102
Li B Ir
1 3 1
Cartesian
0.000 0.000 0.000
0.000 2.051 2.051
2.051 0.000 2.051
2.051 2.051 0.000
2.051 2.051 2.051
```

symmetry: Pm-3m

Entry Q
An optimized crystal structure of LiB3Ir. Source: Alexandria, functional PBE.

```
LiB3Ir
1.0
3.568 0.000 0.000
0.000 3.568 0.000
0.000 0.000 3.568
Li B Ir
1 3 1
Cartesian
0.000 0.000 0.000
0.000 0.000 1.784
0.000 1.784 0.000
1.784 0.000 0.000
1.784 1.784 1.784
```

symmetry: Pm-3m

Most stable: entry P (next structure +114.5 kJ/mol of atoms)

Entry P
An optimized crystal structure of Mg3BIr. Source: Alexandria, functional PBE.

```
Mg3BIr
1.0
4.919 0.000 0.000
0.000 4.919 0.000
0.000 0.000 4.919
Mg B Ir
3 1 1
Cartesian
0.000 0.000 2.460
0.000 2.460 0.000
2.460 0.000 0.000
2.460 2.460 2.460
0.000 0.000 0.000
```

symmetry: Pm-3m

Entry Q
An optimized crystal structure of Mg3BIr. Source: Alexandria, functional PBE.

```
Mg3BIr
1.0
4.386 0.000 0.000
0.000 4.386 0.000
0.000 0.000 4.386
Mg B Ir
3 1 1
Cartesian
0.000 0.000 2.193
0.000 2.193 0.000
2.193 0.000 0.000
0.000 0.000 0.000
2.193 2.193 2.193
```

symmetry: Pm-3m

Most stable: entry Q (next structure +40.8 kJ/mol of atoms)

Entry P
An optimized crystal structure of Mn3BIr. Source: Alexandria, functional PBE.

```
Mn3BIr
1.0
3.800 0.000 0.000
0.000 3.800 0.000
0.000 0.000 3.800
Mn B Ir
3 1 1
Cartesian
0.000 0.000 1.900
0.000 1.900 0.000
1.900 0.000 0.000
0.000 0.000 0.000
1.900 1.900 1.900
```

symmetry: Pm-3m

Entry Q
An optimized crystal structure of Mn3BIr. Source: Alexandria, functional PBE.

```
Mn3BIr
1.0
4.802 0.000 0.000
0.000 4.802 0.000
0.000 0.000 4.802
Mn B Ir
3 1 1
Cartesian
0.000 0.000 2.401
0.000 2.401 0.000
2.401 0.000 0.000
2.401 2.401 2.401
0.000 0.000 0.000
```

symmetry: Pm-3m

Most stable: entry P (next structure +158.3 kJ/mol of atoms)

Entry P
An optimized crystal structure of MnB2Ir. Source: Alexandria, functional PBE.

```
MnB2Ir
1.0
-2.293 2.293 4.839
2.293 -2.293 4.839
2.293 2.293 -4.839
Mn B Ir
2 4 2
Cartesian
0.000 0.000 0.000
0.000 2.293 2.420
1.146 -1.124 3.630
1.168 1.146 1.210
1.146 3.417 -1.210
1.124 1.146 6.049
2.293 0.000 2.420
0.000 0.000 4.839
```

symmetry: I-42d

Entry Q
An optimized crystal structure of MnB2Ir. Source: Alexandria, functional PBE.

```
MnB2Ir
1.0
0.000 2.637 2.637
2.637 0.000 2.637
2.637 2.637 0.000
Mn B Ir
1 2 1
Cartesian
0.000 0.000 0.000
1.318 1.318 1.318
3.955 3.955 3.955
2.637 2.637 2.637
```

symmetry: Fm-3m

Most stable: entry Q (next structure +34.9 kJ/mol of atoms)

Entry P
An optimized crystal structure of Mn2BMoIr. Source: Alexandria, functional PBE.

```
Mn2BMoIr
1.0
4.634 0.000 0.000
0.000 4.634 0.000
0.000 0.000 4.674
Mn B Mo Ir
2 1 1 1
Cartesian
0.000 2.317 0.000
2.317 0.000 0.000
0.000 0.000 2.337
2.317 2.317 0.000
2.317 2.317 2.337
```

symmetry: P4/mmm

Entry Q
An optimized crystal structure of Mn2BMoIr. Source: Alexandria, functional PBE.

```
Mn2BMoIr
1.0
4.502 0.000 0.000
0.000 4.502 0.000
0.000 0.000 4.044
Mn B Mo Ir
2 1 1 1
Cartesian
0.000 2.251 0.000
2.251 0.000 0.000
0.000 0.000 2.022
0.000 0.000 0.000
2.251 2.251 2.022
```

symmetry: P4/mmm

Most stable: entry Q (next structure +52.9 kJ/mol of atoms)